a) # Tb2Tm8Mg (PBE, relaxed)
# - crystal system = monoclinic
# - Fermi-level density of states (states/eV per cell) = 33.95
data_Tb2Tm8Mg
_space_group_name_H-M_alt 'C 1 2/m 1'
_space_group_IT_number 12
_cell_length_a 19.123
_cell_length_b 5.475
_cell_length_c 6.334
_cell_angle_alpha 90.00
_cell_angle_beta 94.79
_cell_angle_gamma 90.00
loop_
_space_group_symop_operation_xyz
'x,y,z'
'-x,-y,-z'
'-x,y,-z'
'x,-y,z'
'x+1/2,y+1/2,z'
'-x+1/2,-y+1/2,-z'
'-x+1/2,y+1/2,-z'
'x+1/2,-y+1/2,z'
loop_
_atom_site_label
_atom_site_type_symbol
_atom_site_fract_x
_atom_site_fract_y
_atom_site_fract_z
_atom_site_occupancy
Tb1 Tb 0.243 0.000 0.334 1
Tm1 Tm 0.046 0.000 0.264 1
Tm2 Tm 0.079 0.500 0.595 1
Tm3 Tm 0.152 0.000 0.810 1
Tm4 Tm 0.161 0.500 0.127 1
Mg1 Mg 0.000 0.500 0.000 1


b) # Tb2Tm8Mg (PBE, relaxed)
# - crystal system = orthorhombic
# - Fermi-level density of states (states/eV per cell) = 34.49
data_Tb2Tm8Mg
_space_group_name_H-M_alt 'I m m m'
_space_group_IT_number 71
_space_group_name_Hall '-I 2 2'
_cell_length_a 5.436
_cell_length_b 7.358
_cell_length_c 17.017
_cell_angle_alpha 90.00
_cell_angle_beta 90.00
_cell_angle_gamma 90.00
loop_
_atom_site_label
_atom_site_type_symbol
_atom_site_fract_x
_atom_site_fract_y
_atom_site_fract_z
_atom_site_occupancy
Tb1 Tb 0.000 0.000 0.194 1
Tm1 Tm 0.000 0.245 0.000 1
Tm2 Tm 0.000 0.265 0.361 1
Tm3 Tm 0.000 0.500 0.181 1
Mg1 Mg 0.000 0.000 0.500 1


The structure shown above that is most stable: a).